Record 1
PmY2Tl2, optimized geometry, DFT GGA-PBE; volume = 308.4 Å³ per cell; M_tot = 1.40 μB per cell; symmetry = P2_1/m (11); uncorrected energy = -4.655 eV/atom; formation energy from the elements = -0.172 eV per atom; energy above the lowest structure with this stoichiometry = 64.0 kJ/mol of formula units
1.0
5.830 0.000 0.000
0.000 3.814 0.000
-1.412 0.000 13.869
Pm Y Tl
2 4 4
direct
0.196 0.250 0.251
0.804 0.750 0.749
0.243 0.750 0.469
0.318 0.250 0.886
0.682 0.750 0.114
0.757 0.250 0.531
0.183 0.750 0.055
0.287 0.250 0.661
0.713 0.750 0.339
0.817 0.250 0.945

=====

Record 2
LiSmInPb, optimized geometry, DFT GGA-PBE; volume = 101.2 Å³ per cell; M_tot = 0.00 μB per cell; symmetry = Pmmm (47); uncorrected energy = -3.697 eV/atom; formation energy from the elements = -0.428 eV per atom; energy above the lowest structure with this stoichiometry = 0.0 kJ/mol of formula units
1.0
4.542 0.000 0.000
0.000 4.675 0.000
0.000 0.000 4.768
Li Sm In Pb
1 1 1 1
direct
0.000 0.000 0.000
0.000 0.500 0.500
0.500 0.500 0.000
0.500 0.000 0.500

=====

The lowest volume belongs to which entry? LiSmInPb

=====

Look up the uncorrected energy of the first one. -4.655 eV/atom

=====

Look up the energy above the lowest structure with this stoichiometry of the first one. 64.0 kJ/mol of formula units